Record 1
{"formula": "CoOsN3", "functional": "PBE-GGA", "state": "optimized geometry", "dos_ef_per_ev_cell": 4.624, "space_group": "Pm-3m", "volume_a3_per_atom": 9.34, "raw_formation_energy_kj_per_mol_atoms": 174.8, "lattice_angstrom": [[3.6010, 0.0000, 0.0000], [0.0000, 3.6010, 0.0000], [0.0000, 0.0000, 3.6010]], "species": ["Co", "Os", "N", "N", "N"], "frac_coords": [[0.0000, 0.0000, 0.0000], [0.5000, 0.5000, 0.5000], [0.0000, 0.0000, 0.5000], [0.0000, 0.5000, 0.0000], [0.5000, 0.0000, 0.0000]]}


Record 2
{"formula": "Pm6RuPt", "functional": "PBE-GGA", "state": "optimized geometry", "dos_ef_per_ev_cell": 7.722, "space_group": "P-1", "volume_a3_per_atom": 33.01, "delta_e_f_kcal_per_mol_atoms": -7.37, "lattice_angstrom": [[6.7792, 0.0000, 0.0000], [3.3878, 5.8780, 0.0000], [3.3889, -1.9520, 6.6262]], "species": ["Pm", "Pm", "Pm", "Pm", "Pm", "Pm", "Ru", "Pt"], "frac_coords": [[0.0095, 0.4186, 0.2437], [0.3248, 0.9281, 0.7563], [0.3279, 0.7532, 0.2439], [0.6721, 0.2468, 0.7561], [0.6752, 0.0719, 0.2437], [0.9905, 0.5814, 0.7563], [0.5000, 0.0000, 0.0000], [0.5000, 0.5000, 0.5000]]}


Record 3
{"formula": "Cd2Cu2Pd", "functional": "PBE-GGA", "state": "optimized geometry", "dos_ef_per_ev_cell": 2.051, "space_group": "I4/mmm", "volume_a3_per_atom": 17.35, "delta_e_f_kcal_per_mol_atoms": -0.22, "polymorph_energy_mev_per_atom": 7, "lattice_angstrom": [[-1.6900, 1.6900, 7.5911], [1.6900, -1.6900, 7.5911], [1.6900, 1.6900, -7.5911]], "species": ["Cd", "Cd", "Cu", "Cu", "Pd"], "frac_coords": [[0.1043, 0.1043, 0.0000], [0.8957, 0.8957, 0.0000], [0.2500, 0.7500, 0.5000], [0.7500, 0.2500, 0.5000], [0.5000, 0.5000, 0.0000]]}


Record 4
{"formula": "Ba2BiMoBr", "functional": "PBE-GGA", "state": "optimized geometry", "dos_ef_per_ev_cell": 3.514, "space_group": "P4/mmm", "volume_a3_per_atom": 38.65, "raw_formation_energy_kj_per_mol_atoms": 5.2, "lattice_angstrom": [[6.2190, 0.0000, 0.0000], [0.0000, 6.2190, 0.0000], [0.0000, 0.0000, 4.9966]], "species": ["Ba", "Ba", "Bi", "Mo", "Br"], "frac_coords": [[0.0000, 0.5000, 0.0000], [0.5000, 0.0000, 0.0000], [0.0000, 0.0000, 0.5000], [0.5000, 0.5000, 0.5000], [0.5000, 0.5000, 0.0000]]}


Record 5
{"formula": "B2C3", "functional": "PBE-GGA", "state": "optimized geometry", "dos_ef_per_ev_cell": 1.395, "space_group": "P1", "volume_a3_per_atom": 6.56, "delta_e_f_kcal_per_mol_atoms": 8.55, "polymorph_energy_mev_per_atom": 134, "lattice_angstrom": [[3.6346, 0.0000, 0.0000], [1.5067, 4.2156, 0.0000], [1.7977, 0.1763, 4.2827]], "species": ["B", "B", "B", "B", "C", "C", "C", "C", "C", "C"], "frac_coords": [[0.0000, 0.0000, 0.0000], [0.0464, 0.4040, 0.1413], [0.2353, 0.5929, 0.5359], [0.5799, 0.9790, 0.3746], [0.1732, 0.2716, 0.4405], [0.4146, 0.4564, 0.8249], [0.4596, 0.7563, 0.9222], [0.6262, 0.6867, 0.1921], [0.7908, 0.8774, 0.6459], [0.8261, 0.1871, 0.7259]]}


Record 6
{"formula": "Ba2ScCo", "functional": "PBE-GGA", "state": "optimized geometry", "dos_ef_per_ev_cell": 6.408, "space_group": "R-3m", "volume_a3_per_atom": 34.94, "delta_e_f_kcal_per_mol_atoms": 15.77, "polymorph_energy_mev_per_atom": 490, "lattice_angstrom": [[1.9605, 1.1319, 10.4969], [-1.9605, 1.1319, 10.4969], [0.0000, -2.2638, 10.4969]], "species": ["Ba", "Ba", "Sc", "Co"], "frac_coords": [[0.2326, 0.2326, 0.2326], [0.7674, 0.7674, 0.7674], [0.0000, 0.0000, 0.0000], [0.5000, 0.5000, 0.5000]]}